Compound: Ba2ZrMo
Source: the Alexandria database
Functional: GGA-PBE
Structure: relaxed

Cell lengths 3.4286, 4.5822, 9.2701 Å; angles 90.00, 93.50, 90.00 degrees
Last column: nearest neighbours and their distance in Å.
Fractional positions:
Ba 0.0000 0.0000 0.0000  2 Ba 3.43, 2 Zr 3.45-3.60, 2 Mo 3.48
Ba 0.2221 0.5000 0.5966  2 Mo 3.41-3.69, 2 Ba 3.43, 2 Zr 3.54
Zr 0.5093 0.0000 0.3323  2 Mo 2.54
Mo 0.7510 0.5000 0.2617  2 Zr 2.54

Computed properties:
Calculated volume: 145.4 Å³ per cell
Space-group type: Pm
Energy relative to the elements: 664 meV per atom
D(E_F): 4.354 states/eV per cell